[1]
RbZnCu2F8 | PBE | optimized geometry

total magnetization: 1.016 μB/cell
energy: -4.02 eV/atom
formation energy (no corrections): -183 kJ per mole of atoms
D(E_F): 3.7 states/eV per cell

Geometry as CIF:
```
data_RbZnCu2F8
_chemical_formula_sum 'Rb1 Zn1 Cu2 F8'
_cell_length_a 4.665
_cell_length_b 4.741
_cell_length_c 8.478
_cell_angle_alpha 84.27
_cell_angle_beta 88.89
_cell_angle_gamma 84.35
_symmetry_space_group_name_H-M 'P -1'
_symmetry_Int_Tables_number 2
loop_
_symmetry_equiv_pos_as_xyz
'x,y,z'
'-x,-y,-z'
loop_
_atom_site_label
_atom_site_type_symbol
_atom_site_fract_x
_atom_site_fract_y
_atom_site_fract_z
Rb1 Rb 0.000 0.000 0.000
Zn1 Zn 0.000 0.000 0.500
Cu1 Cu 0.472 0.495 0.308
F1 F 0.172 0.780 0.320
F2 F 0.214 0.777 0.692
F3 F 0.312 0.283 0.480
F4 F 0.416 0.328 0.878
```

***

[2]
Li2TlO | PBE | optimized geometry

energy relative to the lowest polymorph listed for this composition: 785 meV per atom
total magnetization: 0.000 μB/cell
energy: -3.18 eV/atom
formation energy (no corrections): -38 kJ per mole of atoms
D(E_F): 5.2 states/eV per cell

Geometry as CIF:
```
data_Li2TlO
_chemical_formula_sum 'Li8 Tl4 O4'
_cell_length_a 6.228
_cell_length_b 6.228
_cell_length_c 6.228
_cell_angle_alpha 90.00
_cell_angle_beta 90.00
_cell_angle_gamma 90.00
_symmetry_space_group_name_H-M 'F m -3 m'
_symmetry_Int_Tables_number 225
_symmetry_space_group_name_Hall '-F 4 2 3'
loop_
_atom_site_label
_atom_site_type_symbol
_atom_site_fract_x
_atom_site_fract_y
_atom_site_fract_z
Li1 Li 0.250 0.250 0.250
Tl1 Tl 0.000 0.000 0.000
O1 O 0.000 0.000 0.500
```

***

[3]
TbNdSm2Dy5 | PBE | optimized geometry

total magnetization: 0.000 μB/cell
energy: -4.38 eV/atom
D(E_F): 41.4 states/eV per cell
formation energy from the elements: 269.5 meV per atom

Geometry as CIF:
```
data_TbNdSm2Dy5
_chemical_formula_sum 'Tb4 Nd4 Sm8 Dy20'
_cell_length_a 8.754
_cell_length_b 8.754
_cell_length_c 15.389
_cell_angle_alpha 90.00
_cell_angle_beta 90.00
_cell_angle_gamma 90.00
_symmetry_space_group_name_H-M 'I 4/m c m'
_symmetry_Int_Tables_number 140
_symmetry_space_group_name_Hall '-I 4 2c'
loop_
_atom_site_label
_atom_site_type_symbol
_atom_site_fract_x
_atom_site_fract_y
_atom_site_fract_z
Tb1 Tb 0.000 0.500 0.250
Nd1 Nd 0.000 0.000 0.250
Sm1 Sm 0.116 0.384 0.000
Dy1 Dy 0.000 0.000 0.000
Dy2 Dy 0.208 0.292 0.364
```

***

[4]
SiPtCl | PBE | optimized geometry

energy relative to the lowest polymorph listed for this composition: 0 meV per atom
total magnetization: 0.000 μB/cell
energy: -5.26 eV/atom
formation energy (no corrections): -80 kJ per mole of atoms
D(E_F): 0.2 states/eV per cell

Geometry as CIF:
```
data_SiPtCl
_chemical_formula_sum 'Si2 Pt2 Cl2'
_cell_length_a 4.502
_cell_length_b 4.502
_cell_length_c 8.345
_cell_angle_alpha 97.25
_cell_angle_beta 92.49
_cell_angle_gamma 104.49
_symmetry_space_group_name_H-M 'P -1'
_symmetry_Int_Tables_number 2
loop_
_symmetry_equiv_pos_as_xyz
'x,y,z'
'-x,-y,-z'
loop_
_atom_site_label
_atom_site_type_symbol
_atom_site_fract_x
_atom_site_fract_y
_atom_site_fract_z
Si1 Si 0.201 0.212 0.090
Pt1 Pt 0.290 0.710 0.000
Cl1 Cl 0.190 0.232 0.338
```